Material: Sc2TeRh
Method: DFT, PBEsol
State: relaxed

Lattice parameters (Å, degrees): 5.057 5.057 5.057 129.94 129.94 73.51
Sites, in units of the cell vectors:
Sc 0.250 0.750 0.500
Sc 0.750 0.250 0.500
Te 0.000 0.000 0.000
Rh 0.500 0.500 0.000

Computed properties:
- ΔE_f (raw) (eV/atom) = -0.730
- total DFT energy (no corrections) (eV for the cell shown) = -27.79
- space group = I4/mmm, No. 139
- total moment (μB per atom) = 0.00
- density of states at the Fermi level (states/eV per atom) = 0.6985

***

Material: Sc2TeRh
Method: DFT, PBEsol
State: relaxed

Lattice parameters (Å, degrees): 4.645 4.645 3.542 90.00 90.00 90.00
Sites, in units of the cell vectors:
Sc 0.000 0.500 0.000
Sc 0.500 0.000 0.000
Te 0.000 0.000 0.500
Rh 0.500 0.500 0.500

Computed properties:
- ΔE_f (raw) (eV/atom) = -0.747
- total DFT energy (no corrections) (eV for the cell shown) = -27.86
- space group = P4/mmm, No. 123
- total moment (μB per atom) = 0.00
- density of states at the Fermi level (states/eV per atom) = 0.9266

***

Material: Sc2TlRh
Method: DFT, PBEsol
State: relaxed

Lattice parameters (Å, degrees): 3.206 3.206 7.498 90.00 90.00 90.00
Sites, in units of the cell vectors:
Sc 0.000 0.000 0.211
Sc 0.000 0.000 0.789
Tl 0.500 0.500 0.500
Rh 0.500 0.500 0.000

Computed properties:
- total DFT energy (no corrections) (eV for the cell shown) = -26.60
- space group = P4/mmm, No. 123
- total moment (μB per atom) = 0.00
- density of states at the Fermi level (states/eV per atom) = 0.7167
- calculated formation energy (eV per atom) = -0.657

***

Number 3 is which compound?
Sc2TlRh

***

Which of these has the lowest density of states at the Fermi level?
number 1

***

Which value of total moment does entry 2 give?
0.00 μB per atom

***

Among the records above, which one has the highest density of states at the Fermi level?
number 2